(1)
# GGA-PBE TbSc4Cd2, relaxed
data_TbSc4Cd2
_symmetry_space_group_name_H-M 'P 1'
_symmetry_Int_Tables_number 1
_cell_length_a 7.566
_cell_length_b 7.566
_cell_length_c 5.980
_cell_angle_alpha 90.00
_cell_angle_beta 90.00
_cell_angle_gamma 90.00
loop_
_symmetry_equiv_pos_as_xyz
'x,y,z'
loop_
_atom_site_label
_atom_site_type_symbol
_atom_site_fract_x
_atom_site_fract_y
_atom_site_fract_z
_atom_site_occupancy
Tb1 Tb 0.000 0.000 0.000 1
Tb2 Tb 0.500 0.500 0.500 1
Sc1 Sc 0.200 0.200 0.500 1
Sc2 Sc 0.200 0.800 0.500 1
Sc3 Sc 0.300 0.300 0.000 1
Sc4 Sc 0.300 0.700 0.000 1
Sc5 Sc 0.700 0.300 0.000 1
Sc6 Sc 0.700 0.700 0.000 1
Sc7 Sc 0.800 0.200 0.500 1
Sc8 Sc 0.800 0.800 0.500 1
Cd1 Cd 0.000 0.500 0.250 1
Cd2 Cd 0.000 0.500 0.750 1
Cd3 Cd 0.500 0.000 0.250 1
Cd4 Cd 0.500 0.000 0.750 1
# - E_form (eV per atom) = -0.006
# - density of states at the Fermi level (states/eV per cell) = 16.166

(2)
# GGA-PBE TbScCd5, relaxed
data_TbScCd5
_symmetry_space_group_name_H-M 'P 1'
_symmetry_Int_Tables_number 1
_cell_length_a 5.003
_cell_length_b 5.003
_cell_length_c 6.896
_cell_angle_alpha 90.00
_cell_angle_beta 90.00
_cell_angle_gamma 90.00
loop_
_symmetry_equiv_pos_as_xyz
'x,y,z'
loop_
_atom_site_label
_atom_site_type_symbol
_atom_site_fract_x
_atom_site_fract_y
_atom_site_fract_z
_atom_site_occupancy
Tb1 Tb 0.000 0.000 0.000 1
Sc1 Sc 0.500 0.500 0.500 1
Cd1 Cd 0.000 0.500 0.279 1
Cd2 Cd 0.000 0.500 0.721 1
Cd3 Cd 0.500 0.000 0.279 1
Cd4 Cd 0.500 0.000 0.721 1
Cd5 Cd 0.500 0.500 0.000 1
# - E_form (eV per atom) = -0.091
# - density of states at the Fermi level (states/eV per cell) = 4.821

(3)
# GGA-PBE Tb2Sc2Cd3, relaxed
data_Tb2Sc2Cd3
_symmetry_space_group_name_H-M 'P 1'
_symmetry_Int_Tables_number 1
_cell_length_a 4.608
_cell_length_b 23.117
_cell_length_c 3.225
_cell_angle_alpha 90.00
_cell_angle_beta 90.00
_cell_angle_gamma 90.00
loop_
_symmetry_equiv_pos_as_xyz
'x,y,z'
loop_
_atom_site_label
_atom_site_type_symbol
_atom_site_fract_x
_atom_site_fract_y
_atom_site_fract_z
_atom_site_occupancy
Tb1 Tb 0.000 0.074 0.000 1
Tb2 Tb 0.000 0.926 0.000 1
Tb3 Tb 0.500 0.426 0.000 1
Tb4 Tb 0.500 0.574 0.000 1
Sc1 Sc 0.000 0.209 0.000 1
Sc2 Sc 0.000 0.791 0.000 1
Sc3 Sc 0.500 0.291 0.000 1
Sc4 Sc 0.500 0.709 0.000 1
Cd1 Cd 0.000 0.343 0.500 1
Cd2 Cd 0.000 0.500 0.500 1
Cd3 Cd 0.000 0.657 0.500 1
Cd4 Cd 0.500 0.000 0.500 1
Cd5 Cd 0.500 0.157 0.500 1
Cd6 Cd 0.500 0.843 0.500 1
# - E_form (eV per atom) = -0.148
# - density of states at the Fermi level (states/eV per cell) = 13.111

(4)
# GGA-PBE Tb3ScCd12, relaxed
data_Tb3ScCd12
_symmetry_space_group_name_H-M 'P 1'
_symmetry_Int_Tables_number 1
_cell_length_a 4.496
_cell_length_b 4.496
_cell_length_c 18.814
_cell_angle_alpha 90.00
_cell_angle_beta 90.00
_cell_angle_gamma 90.00
loop_
_symmetry_equiv_pos_as_xyz
'x,y,z'
loop_
_atom_site_label
_atom_site_type_symbol
_atom_site_fract_x
_atom_site_fract_y
_atom_site_fract_z
_atom_site_occupancy
Tb1 Tb 0.000 0.000 0.000 1
Tb2 Tb 0.000 0.000 0.255 1
Tb3 Tb 0.000 0.000 0.745 1
Sc1 Sc 0.000 0.000 0.500 1
Cd1 Cd 0.000 0.500 0.127 1
Cd2 Cd 0.000 0.500 0.381 1
Cd3 Cd 0.000 0.500 0.619 1
Cd4 Cd 0.000 0.500 0.873 1
Cd5 Cd 0.500 0.000 0.127 1
Cd6 Cd 0.500 0.000 0.381 1
Cd7 Cd 0.500 0.000 0.619 1
Cd8 Cd 0.500 0.000 0.873 1
Cd9 Cd 0.500 0.500 0.000 1
Cd10 Cd 0.500 0.500 0.255 1
Cd11 Cd 0.500 0.500 0.500 1
Cd12 Cd 0.500 0.500 0.745 1
# - E_form (eV per atom) = -0.235
# - density of states at the Fermi level (states/eV per cell) = 11.843

(5)
# GGA-PBE Tb2ScCd4, relaxed
data_Tb2ScCd4
_symmetry_space_group_name_H-M 'P 1'
_symmetry_Int_Tables_number 1
_cell_length_a 8.922
_cell_length_b 8.922
_cell_length_c 8.922
_cell_angle_alpha 33.27
_cell_angle_beta 33.27
_cell_angle_gamma 33.27
loop_
_symmetry_equiv_pos_as_xyz
'x,y,z'
loop_
_atom_site_label
_atom_site_type_symbol
_atom_site_fract_x
_atom_site_fract_y
_atom_site_fract_z
_atom_site_occupancy
Tb1 Tb 0.250 0.250 0.250 1
Tb2 Tb 0.750 0.750 0.750 1
Sc1 Sc 0.000 0.000 0.000 1
Cd1 Cd 0.126 0.126 0.126 1
Cd2 Cd 0.376 0.376 0.376 1
Cd3 Cd 0.624 0.624 0.624 1
Cd4 Cd 0.874 0.874 0.874 1
# - distance to the lowest polymorph of the same formula (meV per atom) = 0.0
# - E_form (eV per atom) = -0.121
# - density of states at the Fermi level (states/eV per cell) = 6.585

(6)
# GGA-PBE Tb2ScCd4, relaxed
data_Tb2ScCd4
_symmetry_space_group_name_H-M 'P 1'
_symmetry_Int_Tables_number 1
_cell_length_a 5.373
_cell_length_b 5.373
_cell_length_c 15.478
_cell_angle_alpha 90.00
_cell_angle_beta 90.00
_cell_angle_gamma 90.00
loop_
_symmetry_equiv_pos_as_xyz
'x,y,z'
loop_
_atom_site_label
_atom_site_type_symbol
_atom_site_fract_x
_atom_site_fract_y
_atom_site_fract_z
_atom_site_occupancy
Tb1 Tb 0.000 0.000 0.109 1
Tb2 Tb 0.000 0.000 0.891 1
Tb3 Tb 0.500 0.500 0.391 1
Tb4 Tb 0.500 0.500 0.609 1
Sc1 Sc 0.000 0.000 0.500 1
Sc2 Sc 0.500 0.500 0.000 1
Cd1 Cd 0.000 0.000 0.313 1
Cd2 Cd 0.000 0.000 0.687 1
Cd3 Cd 0.000 0.500 0.000 1
Cd4 Cd 0.000 0.500 0.500 1
Cd5 Cd 0.500 0.000 0.000 1
Cd6 Cd 0.500 0.000 0.500 1
Cd7 Cd 0.500 0.500 0.187 1
Cd8 Cd 0.500 0.500 0.813 1
# - distance to the lowest polymorph of the same formula (meV per atom) = 353.3
# - E_form (eV per atom) = 0.233
# - density of states at the Fermi level (states/eV per cell) = 13.885

(7)
# GGA-PBE Tb2Sc2Cd, relaxed
data_Tb2Sc2Cd
_symmetry_space_group_name_H-M 'P 1'
_symmetry_Int_Tables_number 1
_cell_length_a 6.371
_cell_length_b 6.371
_cell_length_c 9.087
_cell_angle_alpha 106.88
_cell_angle_beta 106.88
_cell_angle_gamma 49.98
loop_
_symmetry_equiv_pos_as_xyz
'x,y,z'
loop_
_atom_site_label
_atom_site_type_symbol
_atom_site_fract_x
_atom_site_fract_y
_atom_site_fract_z
_atom_site_occupancy
Tb1 Tb 0.074 0.074 0.357 1
Tb2 Tb 0.253 0.253 0.756 1
Tb3 Tb 0.747 0.747 0.244 1
Tb4 Tb 0.926 0.926 0.643 1
Sc1 Sc 0.139 0.139 0.030 1
Sc2 Sc 0.440 0.440 0.148 1
Sc3 Sc 0.560 0.560 0.852 1
Sc4 Sc 0.861 0.861 0.970 1
Cd1 Cd 0.367 0.367 0.443 1
Cd2 Cd 0.633 0.633 0.557 1
# - distance to the lowest polymorph of the same formula (meV per atom) = 0.0
# - E_form (eV per atom) = -0.057
# - density of states at the Fermi level (states/eV per cell) = 14.521

(8)
# GGA-PBE TbScCd3, relaxed
data_TbScCd3
_symmetry_space_group_name_H-M 'P 1'
_symmetry_Int_Tables_number 1
_cell_length_a 14.558
_cell_length_b 14.558
_cell_length_c 4.891
_cell_angle_alpha 90.00
_cell_angle_beta 90.00
_cell_angle_gamma 166.67
loop_
_symmetry_equiv_pos_as_xyz
'x,y,z'
loop_
_atom_site_label
_atom_site_type_symbol
_atom_site_fract_x
_atom_site_fract_y
_atom_site_fract_z
_atom_site_occupancy
Tb1 Tb 0.076 0.924 0.750 1
Tb2 Tb 0.924 0.076 0.250 1
Sc1 Sc 0.217 0.783 0.250 1
Sc2 Sc 0.783 0.217 0.750 1
Cd1 Cd 0.320 0.680 0.250 1
Cd2 Cd 0.375 0.625 0.750 1
Cd3 Cd 0.475 0.525 0.750 1
Cd4 Cd 0.525 0.475 0.250 1
Cd5 Cd 0.625 0.375 0.250 1
Cd6 Cd 0.680 0.320 0.750 1
# - distance to the lowest polymorph of the same formula (meV per atom) = 0.0
# - E_form (eV per atom) = -0.274
# - density of states at the Fermi level (states/eV per cell) = 9.523

(9)
# GGA-PBE TbSc2Cd, relaxed
data_TbSc2Cd
_symmetry_space_group_name_H-M 'P 1'
_symmetry_Int_Tables_number 1
_cell_length_a 7.348
_cell_length_b 7.348
_cell_length_c 7.348
_cell_angle_alpha 90.00
_cell_angle_beta 90.00
_cell_angle_gamma 90.00
loop_
_symmetry_equiv_pos_as_xyz
'x,y,z'
loop_
_atom_site_label
_atom_site_type_symbol
_atom_site_fract_x
_atom_site_fract_y
_atom_site_fract_z
_atom_site_occupancy
Tb1 Tb 0.000 0.000 0.000 1
Tb2 Tb 0.000 0.500 0.500 1
Tb3 Tb 0.500 0.000 0.500 1
Tb4 Tb 0.500 0.500 0.000 1
Sc1 Sc 0.250 0.250 0.250 1
Sc2 Sc 0.250 0.250 0.750 1
Sc3 Sc 0.250 0.750 0.250 1
Sc4 Sc 0.250 0.750 0.750 1
Sc5 Sc 0.750 0.250 0.250 1
Sc6 Sc 0.750 0.250 0.750 1
Sc7 Sc 0.750 0.750 0.250 1
Sc8 Sc 0.750 0.750 0.750 1
Cd1 Cd 0.000 0.000 0.500 1
Cd2 Cd 0.000 0.500 0.000 1
Cd3 Cd 0.500 0.000 0.000 1
Cd4 Cd 0.500 0.500 0.500 1
# - distance to the lowest polymorph of the same formula (meV per atom) = 144.0
# - E_form (eV per atom) = 0.020
# - density of states at the Fermi level (states/eV per cell) = 27.898

(10)
# GGA-PBE TbSc2Cd, relaxed
data_TbSc2Cd
_symmetry_space_group_name_H-M 'P 1'
_symmetry_Int_Tables_number 1
_cell_length_a 4.921
_cell_length_b 11.436
_cell_length_c 7.426
_cell_angle_alpha 90.00
_cell_angle_beta 90.00
_cell_angle_gamma 90.00
loop_
_symmetry_equiv_pos_as_xyz
'x,y,z'
loop_
_atom_site_label
_atom_site_type_symbol
_atom_site_fract_x
_atom_site_fract_y
_atom_site_fract_z
_atom_site_occupancy
Tb1 Tb 0.000 0.067 0.250 1
Tb2 Tb 0.000 0.933 0.750 1
Tb3 Tb 0.500 0.433 0.750 1
Tb4 Tb 0.500 0.567 0.250 1
Sc1 Sc 0.000 0.362 0.039 1
Sc2 Sc 0.000 0.362 0.461 1
Sc3 Sc 0.000 0.638 0.539 1
Sc4 Sc 0.000 0.638 0.961 1
Sc5 Sc 0.500 0.138 0.539 1
Sc6 Sc 0.500 0.138 0.961 1
Sc7 Sc 0.500 0.862 0.039 1
Sc8 Sc 0.500 0.862 0.461 1
Cd1 Cd 0.000 0.202 0.750 1
Cd2 Cd 0.000 0.798 0.250 1
Cd3 Cd 0.500 0.298 0.250 1
Cd4 Cd 0.500 0.702 0.750 1
# - distance to the lowest polymorph of the same formula (meV per atom) = 81.1
# - E_form (eV per atom) = -0.043
# - density of states at the Fermi level (states/eV per cell) = 18.411

Spin magnetization in μB/cell, matching the order above: 0.2; 0.0; 0.4; 0.0; 0.0; 0.0; 0.0; 0.0; 3.9; 0.0
Density in g/cm3, matching the order above: 5.47; 7.37; 7.20; 8.17; 7.09; 6.04; 6.46; 7.52; 6.05; 5.74
Raw total energy in eV per atom, matching the order above: -4.547; -2.311; -3.672; -2.185; -2.871; -2.518; -4.624; -3.015; -4.532; -4.595